(1)
Entry from Alexandria: a relaxed CeSmOs crystal (PBE-GGA).

Computed properties:
* theoretical density: 9.89 g/cm3
* DFT formation energy: -0.08 eV/atom
* density of states at the Fermi level: 6.12 states/eV/f.u.

abc: 4.8508 4.8508 4.8508
angles: 60.00 60.00 60.00
Site moments in Bohr magnetons follow the coordinates.
Atoms (fractional coordinates):
Os (0.2500, 0.2500, 0.2500)  -0.06
Ce (0.5000, 0.5000, 0.5000)  0.52
Sm (0.0000, 0.0000, 0.0000)  0.03

(2)
Entry from Alexandria: a relaxed RbPr2Sn3Se6 crystal (PBE-GGA).

Computed properties:
* theoretical density: 5.41 g/cm3
* raw formation energy: -12.1 eV per formula unit
* density of states at the Fermi level: 3.24 states/eV/f.u.

abc: 4.4869 8.6645 9.8263
angles: 98.75 103.20 90.00
Atoms (fractional coordinates):
Rb (0.5000, 0.0000, 0.0000)
Pr (0.8295, 0.6610, 0.6590)
Pr (0.1705, 0.3390, 0.3410)
Sn (0.5000, 0.5000, 0.0000)
Sn (0.8334, 0.1499, 0.6668)
Sn (0.1666, 0.8501, 0.3332)
Se (0.3147, 0.8993, 0.6295)
Se (0.6666, 0.5805, 0.3331)
Se (0.6853, 0.1007, 0.3705)
Se (0.0198, 0.2829, 0.0395)
Se (0.9802, 0.7171, 0.9605)
Se (0.3334, 0.4195, 0.6669)

(3)
Entry from Alexandria: a relaxed Sr2Li16Cu crystal (PBE-GGA).

Computed properties:
* theoretical density: 1.34 g/cm3
* DFT formation energy: 0.03 eV/atom
* density of states at the Fermi level: 10.45 states/eV/f.u.

abc: 7.6190 7.6190 7.6190
angles: 83.79 83.79 83.79
Atoms (fractional coordinates):
Sr (0.6632, 0.6632, 0.6632)
Sr (0.3441, 0.3441, 0.3441)
Li (0.7239, 0.9977, 0.2766)
Li (0.9977, 0.2766, 0.7239)
Li (0.2766, 0.7239, 0.9977)
Li (0.9977, 0.7239, 0.2766)
Li (0.7239, 0.2766, 0.9977)
Li (0.2766, 0.9977, 0.7239)
Li (0.3436, 0.8661, 0.3436)
Li (0.8661, 0.3436, 0.3436)
Li (0.3436, 0.3436, 0.8661)
Li (0.6547, 0.1414, 0.6547)
Li (0.1414, 0.6547, 0.6547)
Li (0.6547, 0.6547, 0.1414)
Li (0.9874, 0.5312, 0.9874)
Li (0.5312, 0.9874, 0.9874)
Li (0.9874, 0.9874, 0.5312)
Li (0.0852, 0.0852, 0.0852)
Cu (0.9010, 0.9010, 0.9010)